! Zr3HIr | the Alexandria database | GGA-PBE | optimized geometry; values from VASP
! - total moment (μB/atom) = 0.000
! - uncorrected energy (eV per atom) = -7.98
&SYSTEM
  ibrav = 0, nat = 20, ntyp = 3
/
ATOMIC_SPECIES
Zr 91.22 Zr.upf
H 1.01 H.upf
Ir 192.22 Ir.upf
CELL_PARAMETERS angstrom
5.406 -6.064 0.000
5.406 6.064 0.000
-1.048 0.000 5.405
ATOMIC_POSITIONS crystal
Zr 0.028 0.781 0.971
Zr 0.169 0.573 0.383
Zr 0.219 0.972 0.529
Zr 0.306 0.448 0.884
Zr 0.427 0.831 0.117
Zr 0.448 0.306 0.384
Zr 0.552 0.694 0.616
Zr 0.573 0.169 0.883
Zr 0.694 0.552 0.116
Zr 0.781 0.028 0.471
Zr 0.831 0.427 0.617
Zr 0.972 0.219 0.029
H 0.319 0.681 0.750
H 0.432 0.568 0.250
H 0.568 0.432 0.750
H 0.681 0.319 0.250
Ir 0.081 0.255 0.525
Ir 0.255 0.081 0.025
Ir 0.745 0.919 0.975
Ir 0.919 0.745 0.475